# 1
Here is a geometry-optimized TiNi2HgB structure from Alexandria. Energies are from PBE.

Summary:
ΔE_f   0.1 kJ per mole of atoms
D(E_F)   6.05 states/eV/cell

a = 3.980 Å, b = 3.980 Å, c = 4.290 Å
α = 90.00°, β = 90.00°, γ = 90.00°
Space group P4/mmm (No. 123)
One atom of each set of equivalent atoms:
Ti  0.000  0.000  0.000 [1 per cell]
Ni  0.000  0.500  0.500 [2 per cell]
Hg  0.500  0.500  0.000 [1 per cell]
B  0.000  0.000  0.500 [1 per cell]

***

# 2
Here is a geometry-optimized NiHg2BW structure from Alexandria. Energies are from PBE.

Summary:
ΔE_f   129.4 kJ per mole of atoms
D(E_F)   3.64 states/eV/cell

a = 4.943 Å, b = 4.943 Å, c = 3.639 Å
α = 90.00°, β = 90.00°, γ = 90.00°
Space group P4/mmm (No. 123)
One atom of each set of equivalent atoms:
Ni  0.000  0.000  0.000 [1 per cell]
Hg  0.000  0.500  0.000 [2 per cell]
B  0.000  0.000  0.500 [1 per cell]
W  0.500  0.500  0.500 [1 per cell]

***

- The highest ΔE_f belongs to which entry?
  NiHg2BW

***

What did the first record say?
Here is a geometry-optimized TiNi2HgB structure from Alexandria. Energies are from PBE.

Summary:
ΔE_f   0.1 kJ per mole of atoms
D(E_F)   6.05 states/eV/cell

a = 3.980 Å, b = 3.980 Å, c = 4.290 Å
α = 90.00°, β = 90.00°, γ = 90.00°
Space group P4/mmm (No. 123)
One atom of each set of equivalent atoms:
Ti  0.000  0.000  0.000 [1 per cell]
Ni  0.000  0.500  0.500 [2 per cell]
Hg  0.500  0.500  0.000 [1 per cell]
B  0.000  0.000  0.500 [1 per cell]

***

- Among the records above, which one has the highest ΔE_f?
  NiHg2BW

***

Copy entry 1 word for word.
Here is a geometry-optimized TiNi2HgB structure from Alexandria. Energies are from PBE.

Summary:
ΔE_f   0.1 kJ per mole of atoms
D(E_F)   6.05 states/eV/cell

a = 3.980 Å, b = 3.980 Å, c = 4.290 Å
α = 90.00°, β = 90.00°, γ = 90.00°
Space group P4/mmm (No. 123)
One atom of each set of equivalent atoms:
Ti  0.000  0.000  0.000 [1 per cell]
Ni  0.000  0.500  0.500 [2 per cell]
Hg  0.500  0.500  0.000 [1 per cell]
B  0.000  0.000  0.500 [1 per cell]